5
Lattice="4.774 0.000 0.000 0.000 4.774 0.000 0.000 0.000 4.774" Properties=species:S:1:pos:R:3 comment="VBr3O, relaxed, DFT PBE with a Hubbard U" magmom_total_mub_per_fu=3.10 dft_energy_ev_per_atom=-2.880 n_ef_per_ev_fu=7.05 mass_density_g_cm3=4.68 sg="No. 221" pbc="T T T"
Br 0.000 2.387 0.000
Br 0.000 0.000 2.387
Br 2.387 0.000 0.000
O 0.000 0.000 0.000
V 2.387 2.387 2.387